i.
! TaGaPO2, optimized geometry, DFT GGA-PBE; values from VASP
&SYSTEM
  ibrav = 0, nat = 5, ntyp = 4
/
ATOMIC_SPECIES
Ta 180.95 Ta.upf
Ga 69.72 Ga.upf
P 30.97 P.upf
O 16.00 O.upf
ATOMIC_POSITIONS crystal
Ta 0.000 0.000 0.000
Ga 0.500 0.500 0.500
P 0.000 0.000 0.500
O 0.000 0.500 0.000
O 0.500 0.000 0.000
CELL_PARAMETERS angstrom
3.896 0.000 0.000
0.000 3.896 0.000
0.000 0.000 5.278
! Magnetization: 0.000 μB/f.u.
! Space group: P4/mmm (123)
! V: 16.020 A^3/atom
! Density of states at the Fermi level: 1.37 states/eV per cell

ii.
! TaGaPO2, optimized geometry, DFT GGA-PBE; values from VASP
&SYSTEM
  ibrav = 0, nat = 5, ntyp = 4
/
ATOMIC_SPECIES
Ta 180.95 Ta.upf
Ga 69.72 Ga.upf
P 30.97 P.upf
O 16.00 O.upf
ATOMIC_POSITIONS crystal
Ta 0.000 0.000 0.000
Ga 0.500 0.500 0.500
P 0.500 0.500 0.000
O 0.000 0.500 0.500
O 0.500 0.000 0.500
CELL_PARAMETERS angstrom
3.694 0.000 0.000
0.000 3.694 0.000
0.000 0.000 5.024
! Magnetization: 0.481 μB/f.u.
! Space group: P4/mmm (123)
! V: 13.710 A^3/atom
! Density of states at the Fermi level: 2.97 states/eV per cell

Stability order, top to bottom: i, ii

i.
! TaGaP2O, optimized geometry, DFT GGA-PBE; values from VASP
&SYSTEM
  ibrav = 0, nat = 5, ntyp = 4
/
ATOMIC_SPECIES
Ta 180.95 Ta.upf
Ga 69.72 Ga.upf
P 30.97 P.upf
O 16.00 O.upf
ATOMIC_POSITIONS crystal
Ta 0.000 0.000 0.000
Ga 0.500 0.500 0.500
P 0.000 0.500 0.500
P 0.500 0.000 0.500
O 0.500 0.500 0.000
CELL_PARAMETERS angstrom
4.800 0.000 0.000
0.000 4.800 0.000
0.000 0.000 3.494
! Magnetization: 0.000 μB/f.u.
! Space group: P4/mmm (123)
! V: 16.099 A^3/atom
! Density of states at the Fermi level: 4.00 states/eV per cell

ii.
! TaGaP2O, optimized geometry, DFT GGA-PBE; values from VASP
&SYSTEM
  ibrav = 0, nat = 5, ntyp = 4
/
ATOMIC_SPECIES
Ta 180.95 Ta.upf
Ga 69.72 Ga.upf
P 30.97 P.upf
O 16.00 O.upf
ATOMIC_POSITIONS crystal
Ta 0.000 0.000 0.000
Ga 0.500 0.500 0.500
P 0.000 0.500 0.000
P 0.500 0.000 0.000
O 0.000 0.000 0.500
CELL_PARAMETERS angstrom
4.958 0.000 0.000
0.000 4.958 0.000
0.000 0.000 3.871
! Magnetization: 0.000 μB/f.u.
! Space group: P4/mmm (123)
! V: 19.033 A^3/atom
! Density of states at the Fermi level: 2.56 states/eV per cell

Stability order, top to bottom: ii, i

i.
! GaTeP2O, optimized geometry, DFT GGA-PBE; values from VASP
&SYSTEM
  ibrav = 0, nat = 5, ntyp = 4
/
ATOMIC_SPECIES
Ga 69.72 Ga.upf
Te 127.60 Te.upf
P 30.97 P.upf
O 16.00 O.upf
ATOMIC_POSITIONS crystal
Ga 0.000 0.000 0.000
Te 0.500 0.500 0.500
P 0.000 0.500 0.000
P 0.500 0.000 0.000
O 0.000 0.000 0.500
CELL_PARAMETERS angstrom
4.965 0.000 0.000
0.000 4.965 0.000
0.000 0.000 3.643
! Magnetization: 0.000 μB/f.u.
! Space group: P4/mmm (123)
! V: 17.961 A^3/atom
! Density of states at the Fermi level: 4.27 states/eV per cell

ii.
! GaTeP2O, optimized geometry, DFT GGA-PBE; values from VASP
&SYSTEM
  ibrav = 0, nat = 5, ntyp = 4
/
ATOMIC_SPECIES
Ga 69.72 Ga.upf
Te 127.60 Te.upf
P 30.97 P.upf
O 16.00 O.upf
ATOMIC_POSITIONS crystal
Ga 0.000 0.000 0.000
Te 0.500 0.500 0.500
P 0.000 0.500 0.500
P 0.500 0.000 0.500
O 0.500 0.500 0.000
CELL_PARAMETERS angstrom
5.174 0.000 0.000
0.000 5.174 0.000
0.000 0.000 3.963
! Magnetization: 0.000 μB/f.u.
! Space group: P4/mmm (123)
! V: 21.217 A^3/atom
! Density of states at the Fermi level: 4.07 states/eV per cell

Stability order, top to bottom: i, ii

i.
! TiGaPO2, optimized geometry, DFT GGA-PBE; values from VASP
&SYSTEM
  ibrav = 0, nat = 5, ntyp = 4
/
ATOMIC_SPECIES
Ti 47.87 Ti.upf
Ga 69.72 Ga.upf
P 30.97 P.upf
O 16.00 O.upf
ATOMIC_POSITIONS crystal
Ti 0.000 0.000 0.000
Ga 0.500 0.500 0.500
P 0.500 0.500 0.000
O 0.000 0.500 0.500
O 0.500 0.000 0.500
CELL_PARAMETERS angstrom
3.688 0.000 0.000
0.000 3.688 0.000
0.000 0.000 5.125
! Magnetization: 0.000 μB/f.u.
! Space group: P4/mmm (123)
! V: 13.941 A^3/atom
! Density of states at the Fermi level: 2.12 states/eV per cell

ii.
! TiGaPO2, optimized geometry, DFT GGA-PBE; values from VASP
&SYSTEM
  ibrav = 0, nat = 5, ntyp = 4
/
ATOMIC_SPECIES
Ti 47.87 Ti.upf
Ga 69.72 Ga.upf
P 30.97 P.upf
O 16.00 O.upf
ATOMIC_POSITIONS crystal
Ti 0.000 0.000 0.000
Ga 0.500 0.500 0.500
P 0.000 0.000 0.500
O 0.000 0.500 0.000
O 0.500 0.000 0.000
CELL_PARAMETERS angstrom
3.751 0.000 0.000
0.000 3.751 0.000
0.000 0.000 5.347
! Magnetization: 0.000 μB/f.u.
! Space group: P4/mmm (123)
! V: 15.049 A^3/atom
! Density of states at the Fermi level: 1.97 states/eV per cell

iii.
! TiGaPO2, optimized geometry, DFT GGA-PBE; values from VASP
&SYSTEM
  ibrav = 0, nat = 5, ntyp = 4
/
ATOMIC_SPECIES
Ti 47.87 Ti.upf
Ga 69.72 Ga.upf
P 30.97 P.upf
O 16.00 O.upf
ATOMIC_POSITIONS crystal
Ti 0.000 0.000 0.000
Ga 0.000 0.000 0.500
P 0.500 0.500 0.500
O 0.000 0.500 0.000
O 0.500 0.000 0.000
CELL_PARAMETERS angstrom
3.678 0.000 0.000
0.000 3.678 0.000
0.000 0.000 7.971
! Magnetization: 0.000 μB/f.u.
! Space group: P4/mmm (123)
! V: 21.571 A^3/atom
! Density of states at the Fermi level: 2.41 states/eV per cell

Stability order, top to bottom: ii, iii, i